This record from OQMD via LeMat-Bulk describes CoP2PdO7 after structural relaxation. The functional is PBE with a Hubbard U.

As for the uncorrected energy: -73.198 eV/cell. As for the volume: 122.2 Å³ per cell. The value obtained for the calculated density is 4.6 g/cm³.

It has space group P1 (No. 1), with a = 4.5286 Å, b = 5.3538 Å, c = 5.3595 Å, α = 102.30°, β = 99.79° and γ = 99.87°. The inequivalent atoms are Co at (0.0000, 0.0000, 0.0000), P at (0.4144, 0.8711, 0.5182), P at (0.5894, 0.4730, 0.1180), Pd at (0.0002, 0.3736, 0.6190), O at (0.2104, 0.7671, 0.6932), O at (0.2659, 0.0010, 0.3267), O at (0.2804, 0.3112, 0.9403), O at (0.5029, 0.6086, 0.3812), O at (0.7213, 0.0512, 0.6809), O at (0.7374, 0.6643, 0.9878) and O at (0.7932, 0.2976, 0.2223).